1.
First-principles (PBE) data for crystalline ZrNbGa2 at its relaxed geometry, as listed in the Alexandria database. Values from VASP.

Values from the calculation:
* formation enthalpy at 0 K: -0.223 eV/atom
* E above lowest polymorph: 157 meV per atom
* symmetry: No. 225

Structure (Quantum ESPRESSO input):
```
&SYSTEM
  ibrav = 0, nat = 4, ntyp = 3
/
ATOMIC_SPECIES
Nb 92.91 Nb.upf
Ga 69.72 Ga.upf
Zr 91.22 Zr.upf
CELL_PARAMETERS angstrom
3.361 -3.130 -0.766
1.039 -3.147 3.270
-1.094 -4.479 -0.648
ATOMIC_POSITIONS angstrom
Nb 1.653 -5.377 0.928
Ga 0.827 -2.689 0.464
Ga 2.480 -8.066 1.392
Zr 0.000 0.000 0.000
```

2.
First-principles (PBE) data for crystalline AcSmHgIr at its relaxed geometry, as listed in the Alexandria database. Values from VASP.

Values from the calculation:
* formation enthalpy at 0 K: -0.446 eV/atom
* E above lowest polymorph: 123 meV per atom
* symmetry: No. 216

Structure (Quantum ESPRESSO input):
```
&SYSTEM
  ibrav = 0, nat = 4, ntyp = 4
/
ATOMIC_SPECIES
Ac 227.00 Ac.upf
Ir 192.22 Ir.upf
Hg 200.59 Hg.upf
Sm 150.36 Sm.upf
CELL_PARAMETERS angstrom
-0.803 -2.577 4.579
-4.234 -3.164 0.562
0.635 -5.272 0.229
ATOMIC_POSITIONS angstrom
Ac 0.000 0.000 0.000
Ir -3.301 -8.260 4.028
Hg -1.100 -2.753 1.343
Sm -2.201 -5.507 2.685
```

3.
First-principles (PBE) data for crystalline PuHCl at its relaxed geometry, as listed in the Alexandria database. Values from VASP.

Values from the calculation:
* symmetry: No. 139

Structure (Quantum ESPRESSO input):
```
&SYSTEM
  ibrav = 0, nat = 6, ntyp = 3
/
ATOMIC_SPECIES
Pu 244.00 Pu.upf
H 1.01 H.upf
Cl 35.45 Cl.upf
CELL_PARAMETERS angstrom
-2.821 2.304 -2.370
-0.208 -3.234 -2.895
-6.096 -2.918 0.440
ATOMIC_POSITIONS angstrom
Pu -3.304 -1.265 -0.948
Pu -6.539 -2.651 -2.427
H -4.268 -3.344 -1.819
H -5.575 -0.573 -1.557
Cl -1.978 -2.116 -3.354
Cl -3.284 0.653 -3.092
```

4.
First-principles (PBE) data for crystalline ZnBiSb2 at its relaxed geometry, as listed in the Alexandria database. Values from VASP.

Values from the calculation:
* formation energy (no corrections): 114 meV per atom
* E above lowest polymorph: 15 meV per atom
* symmetry: No. 160

Structure (Quantum ESPRESSO input):
```
&SYSTEM
  ibrav = 0, nat = 4, ntyp = 3
/
ATOMIC_SPECIES
Zn 65.41 Zn.upf
Bi 208.98 Bi.upf
Sb 121.76 Sb.upf
CELL_PARAMETERS angstrom
-3.206 1.296 -2.410
0.151 -0.542 -4.178
-4.171 -6.203 -1.472
ATOMIC_POSITIONS angstrom
Zn -6.181 -5.645 -5.870
Bi -3.595 -2.687 -4.034
Sb -3.549 -4.929 -1.615
Sb -1.687 -1.117 -2.042
```

no.,density (g/cm3),VASP energy (eV/atom)
1,7.53,-6.39
2,12.04,-4.94
3,8.17,-7.42
4,7.74,-3.24